*P*
Density functional theory data (PBE-GGA) for a relaxed structure of LiAs2Os. Values from VASP.

SG   I-42d, No. 122
DOS at the Fermi energy   2.9 states/eV per cell

```
&SYSTEM
  ibrav = 0, nat = 8, ntyp = 3
/
ATOMIC_SPECIES
As 74.92 As.upf
Os 190.23 Os.upf
Li 6.94 Li.upf
ATOMIC_POSITIONS crystal
As 0.672 0.125 0.250
As 0.078 0.625 0.250
As 0.375 0.328 0.750
As 0.875 0.922 0.750
Os 0.000 0.000 0.000
Os 0.750 0.250 0.500
Li 0.500 0.500 0.000
Li 0.250 0.750 0.500
CELL_PARAMETERS angstrom
-3.166 3.042 -4.089
-5.031 -2.635 1.934
-4.825 4.171 2.437
```

*Q*
Density functional theory data (PBE-GGA) for a relaxed structure of LiAs2Os. Values from VASP.

SG   Imm2, No. 44
DOS at the Fermi energy   1.4 states/eV per cell

```
&SYSTEM
  ibrav = 0, nat = 4, ntyp = 3
/
ATOMIC_SPECIES
As 74.92 As.upf
Li 6.94 Li.upf
Os 190.23 Os.upf
ATOMIC_POSITIONS crystal
As 0.062 0.062 0.000
As 0.793 0.293 0.500
Li 0.445 0.445 0.000
Os 0.199 0.699 0.500
CELL_PARAMETERS angstrom
7.575 0.013 -0.002
6.330 4.160 0.002
-6.944 -2.117 2.165
```

Most stable pick: *Q*. Distance to second place: 0.214 eV/atom.

*P*
Density functional theory data (PBE-GGA) for a relaxed structure of Li2AsOs. Values from VASP.

SG   Cmmm, No. 65
DOS at the Fermi energy   2.4 states/eV per cell

```
&SYSTEM
  ibrav = 0, nat = 4, ntyp = 3
/
ATOMIC_SPECIES
As 74.92 As.upf
Li 6.94 Li.upf
Os 190.23 Os.upf
ATOMIC_POSITIONS crystal
As 0.500 0.500 0.750
Li 0.000 0.000 0.997
Li 0.000 0.000 0.503
Os 0.500 0.500 0.250
CELL_PARAMETERS angstrom
2.643 -0.129 0.000
-0.630 2.571 0.000
0.000 0.000 8.643
```

*Q*
Density functional theory data (PBE-GGA) for a relaxed structure of Li2AsOs. Values from VASP.

SG   C2/m, No. 12
DOS at the Fermi energy   2.4 states/eV per cell

```
&SYSTEM
  ibrav = 0, nat = 4, ntyp = 3
/
ATOMIC_SPECIES
As 74.92 As.upf
Li 6.94 Li.upf
Os 190.23 Os.upf
ATOMIC_POSITIONS crystal
As 0.750 0.750 0.750
Li 0.004 0.004 0.996
Li 0.496 0.496 0.504
Os 0.250 0.250 0.250
CELL_PARAMETERS angstrom
5.082 -0.015 -0.011
4.128 2.964 -0.011
1.577 0.505 3.654
```

Most stable pick: *Q*. Distance to second place: 0.057 eV/atom.

*P*
Density functional theory data (PBE-GGA) for a relaxed structure of Li2AsOs. Values from VASP.

SG   Fm-3m, No. 225
DOS at the Fermi energy   2.7 states/eV per cell

```
&SYSTEM
  ibrav = 0, nat = 4, ntyp = 3
/
ATOMIC_SPECIES
As 74.92 As.upf
Os 190.23 Os.upf
Li 6.94 Li.upf
ATOMIC_POSITIONS crystal
As 0.000 0.000 0.000
Os 0.500 0.500 0.500
Li 0.250 0.250 0.250
Li 0.750 0.750 0.750
CELL_PARAMETERS angstrom
0.000 2.944 2.944
2.944 0.000 2.944
2.944 2.944 0.000
```

*Q*
Density functional theory data (PBE-GGA) for a relaxed structure of Li2AsOs. Values from VASP.

SG   R3m, No. 160
DOS at the Fermi energy   2.3 states/eV per cell

```
&SYSTEM
  ibrav = 0, nat = 4, ntyp = 3
/
ATOMIC_SPECIES
As 74.92 As.upf
Li 6.94 Li.upf
Os 190.23 Os.upf
ATOMIC_POSITIONS crystal
As 0.757 0.757 0.757
Li 0.008 0.008 0.008
Li 0.242 0.242 0.242
Os 0.493 0.493 0.493
CELL_PARAMETERS angstrom
-6.426 -4.767 -3.695
-7.265 -4.916 -0.856
-8.043 -2.583 -2.511
```

Most stable pick: *Q*. Distance to second place: 0.177 eV/atom.

*P*
Density functional theory data (PBE-GGA) for a relaxed structure of Li2AsOs. Values from VASP.

SG   F-43m, No. 216
DOS at the Fermi energy   2.5 states/eV per cell

```
&SYSTEM
  ibrav = 0, nat = 4, ntyp = 3
/
ATOMIC_SPECIES
As 74.92 As.upf
Li 6.94 Li.upf
Os 190.23 Os.upf
ATOMIC_POSITIONS crystal
As 0.500 0.500 0.500
Li 0.000 0.000 0.000
Li 0.750 0.750 0.750
Os 0.250 0.250 0.250
CELL_PARAMETERS angstrom
4.205 0.000 0.000
2.103 3.642 0.000
2.103 1.214 3.433
```

*Q*
Density functional theory data (PBE-GGA) for a relaxed structure of Li2AsOs. Values from VASP.

SG   I-42d, No. 122
DOS at the Fermi energy   5.2 states/eV per cell

```
&SYSTEM
  ibrav = 0, nat = 8, ntyp = 3
/
ATOMIC_SPECIES
As 74.92 As.upf
Os 190.23 Os.upf
Li 6.94 Li.upf
ATOMIC_POSITIONS crystal
As 0.500 0.500 0.000
As 0.250 0.750 0.500
Os 0.000 0.000 0.000
Os 0.750 0.250 0.500
Li 0.614 0.125 0.250
Li 0.136 0.625 0.250
Li 0.375 0.386 0.750
Li 0.875 0.864 0.750
CELL_PARAMETERS angstrom
-0.759 -3.587 6.274
7.227 -0.297 0.704
3.204 0.109 4.658
```

*R*
Density functional theory data (PBE-GGA) for a relaxed structure of Li2AsOs. Values from VASP.

SG   R-3m, No. 166
DOS at the Fermi energy   1.6 states/eV per cell

```
&SYSTEM
  ibrav = 0, nat = 4, ntyp = 3
/
ATOMIC_SPECIES
As 74.92 As.upf
Li 6.94 Li.upf
Os 190.23 Os.upf
ATOMIC_POSITIONS crystal
As 0.750 0.750 0.750
Li 0.002 0.002 0.002
Li 0.498 0.498 0.498
Os 0.250 0.250 0.250
CELL_PARAMETERS angstrom
8.982 -0.002 -0.001
8.561 2.716 -0.001
8.561 1.324 2.371
```

Most stable pick: *P*. Distance to second place: 0.118 eV/atom.

*P*
Density functional theory data (PBE-GGA) for a relaxed structure of Li2AsP. Values from VASP.

SG   P4/mmm, No. 123
DOS at the Fermi energy   1.3 states/eV per cell

```
&SYSTEM
  ibrav = 0, nat = 4, ntyp = 3
/
ATOMIC_SPECIES
As 74.92 As.upf
Li 6.94 Li.upf
P 30.97 P.upf
ATOMIC_POSITIONS crystal
As 0.500 0.500 0.750
Li 0.000 0.000 0.018
Li 0.000 0.000 0.482
P 0.500 0.500 0.250
CELL_PARAMETERS angstrom
-0.883 0.602 3.045
-3.080 0.223 -0.937
-0.696 -5.709 0.927
```

*Q*
Density functional theory data (PBE-GGA) for a relaxed structure of Li2AsP. Values from VASP.

SG   I-42d, No. 122
DOS at the Fermi energy   3.5 states/eV per cell

```
&SYSTEM
  ibrav = 0, nat = 8, ntyp = 3
/
ATOMIC_SPECIES
P 30.97 P.upf
As 74.92 As.upf
Li 6.94 Li.upf
ATOMIC_POSITIONS crystal
P 0.500 0.500 0.000
P 0.250 0.750 0.500
As 0.000 0.000 0.000
As 0.750 0.250 0.500
Li 0.594 0.125 0.250
Li 0.156 0.625 0.250
Li 0.375 0.406 0.750
Li 0.875 0.844 0.750
CELL_PARAMETERS angstrom
7.359 0.000 0.000
0.000 7.359 0.000
3.679 3.679 2.478
```

Most stable pick: *P*. Distance to second place: 0.138 eV/atom.

*P*
Density functional theory data (PBE-GGA) for a relaxed structure of Li3AsP. Values from VASP.

SG   Pm-3m, No. 221
DOS at the Fermi energy   3.8 states/eV per cell

```
&SYSTEM
  ibrav = 0, nat = 5, ntyp = 3
/
ATOMIC_SPECIES
P 30.97 P.upf
As 74.92 As.upf
Li 6.94 Li.upf
ATOMIC_POSITIONS crystal
P 0.500 0.500 0.500
As 0.000 0.000 0.000
Li 0.000 0.500 0.000
Li 0.000 0.000 0.500
Li 0.500 0.000 0.000
CELL_PARAMETERS angstrom
-1.357 4.456 -0.381
-2.203 -0.319 4.109
3.892 1.373 2.194
```

*Q*
Density functional theory data (PBE-GGA) for a relaxed structure of Li3AsP. Values from VASP.

SG   Pm-3m, No. 221
DOS at the Fermi energy   4.4 states/eV per cell

```
&SYSTEM
  ibrav = 0, nat = 5, ntyp = 3
/
ATOMIC_SPECIES
P 30.97 P.upf
As 74.92 As.upf
Li 6.94 Li.upf
ATOMIC_POSITIONS crystal
P 0.000 0.000 0.000
As 0.500 0.500 0.500
Li 0.000 0.500 0.000
Li 0.000 0.000 0.500
Li 0.500 0.000 0.000
CELL_PARAMETERS angstrom
4.566 0.000 0.000
0.000 4.566 0.000
0.000 0.000 4.566
```

*R*
Density functional theory data (PBE-GGA) for a relaxed structure of Li3AsP. Values from VASP.

SG   P2_1/c, No. 14

```
&SYSTEM
  ibrav = 0, nat = 20, ntyp = 3
/
ATOMIC_SPECIES
Li 6.94 Li.upf
As 74.92 As.upf
P 30.97 P.upf
ATOMIC_POSITIONS crystal
Li 0.900 0.998 0.353
Li 0.100 0.002 0.647
Li 0.400 0.002 0.147
Li 0.600 0.998 0.853
Li 0.456 0.291 0.384
Li 0.544 0.709 0.616
Li 0.956 0.709 0.116
Li 0.044 0.291 0.884
Li 0.844 0.405 0.587
Li 0.156 0.595 0.413
Li 0.344 0.595 0.913
Li 0.656 0.405 0.087
As 0.176 0.358 0.160
As 0.824 0.642 0.840
As 0.676 0.642 0.340
As 0.324 0.358 0.660
P 0.611 0.090 0.588
P 0.389 0.910 0.412
P 0.111 0.910 0.912
P 0.889 0.090 0.088
CELL_PARAMETERS angstrom
5.249 0.000 0.000
0.000 6.879 -0.439
0.000 -0.119 9.235
```

Most stable pick: *R*. Distance to second place: 0.438 eV/atom.

*P*
Density functional theory data (PBE-GGA) for a relaxed structure of LiTc2AsP. Values from VASP.

SG   P4/mmm, No. 123
DOS at the Fermi energy   3.7 states/eV per cell

```
&SYSTEM
  ibrav = 0, nat = 5, ntyp = 4
/
ATOMIC_SPECIES
P 30.97 P.upf
As 74.92 As.upf
Tc 98.00 Tc.upf
Li 6.94 Li.upf
ATOMIC_POSITIONS crystal
P 0.500 0.500 0.500
As 0.000 0.500 0.000
Tc 0.000 0.000 0.500
Tc 0.500 0.000 0.000
Li 0.000 0.000 0.000
CELL_PARAMETERS angstrom
-4.286 -0.653 -0.119
0.496 -2.806 -2.465
0.339 -2.820 3.278
```

*Q*
Density functional theory data (PBE-GGA) for a relaxed structure of LiTc2AsP. Values from VASP.

SG   P4/mmm, No. 123
DOS at the Fermi energy   3.4 states/eV per cell

```
&SYSTEM
  ibrav = 0, nat = 5, ntyp = 4
/
ATOMIC_SPECIES
P 30.97 P.upf
As 74.92 As.upf
Tc 98.00 Tc.upf
Li 6.94 Li.upf
ATOMIC_POSITIONS crystal
P 0.000 0.500 0.000
As 0.000 0.000 0.000
Tc 0.000 0.000 0.500
Tc 0.500 0.000 0.000
Li 0.500 0.500 0.500
CELL_PARAMETERS angstrom
-1.464 3.033 -3.210
2.552 -2.362 -3.396
-3.679 -2.708 -0.882
```

Most stable pick: *P*. Distance to second place: 0.062 eV/atom.

*P*
Density functional theory data (PBE-GGA) for a relaxed structure of LiZn2AsP. Values from VASP.

SG   P4/mmm, No. 123
DOS at the Fermi energy   2.6 states/eV per cell

```
&SYSTEM
  ibrav = 0, nat = 5, ntyp = 4
/
ATOMIC_SPECIES
P 30.97 P.upf
As 74.92 As.upf
Zn 65.41 Zn.upf
Li 6.94 Li.upf
ATOMIC_POSITIONS crystal
P 0.000 0.000 0.000
As 0.000 0.500 0.000
Zn 0.000 0.000 0.500
Zn 0.500 0.000 0.000
Li 0.500 0.500 0.500
CELL_PARAMETERS angstrom
4.687 0.000 0.000
0.000 4.993 0.000
0.000 0.000 4.687
```

*Q*
Density functional theory data (PBE-GGA) for a relaxed structure of LiZn2AsP. Values from VASP.

SG   P4/mmm, No. 123
DOS at the Fermi energy   2.5 states/eV per cell

```
&SYSTEM
  ibrav = 0, nat = 5, ntyp = 4
/
ATOMIC_SPECIES
P 30.97 P.upf
As 74.92 As.upf
Zn 65.41 Zn.upf
Li 6.94 Li.upf
ATOMIC_POSITIONS crystal
P 0.500 0.500 0.500
As 0.000 0.000 0.000
Zn 0.000 0.000 0.500
Zn 0.500 0.000 0.000
Li 0.000 0.500 0.000
CELL_PARAMETERS angstrom
-2.479 1.647 3.717
-1.582 -4.344 0.870
3.737 -0.792 2.843
```

Most stable pick: *P*. Distance to second place: 0.073 eV/atom.

*P*
Density functional theory data (PBE-GGA) for a relaxed structure of Li2As2Pb. Values from VASP.

SG   I4/mmm, No. 139
DOS at the Fermi energy   1.0 states/eV per cell

```
&SYSTEM
  ibrav = 0, nat = 5, ntyp = 3
/
ATOMIC_SPECIES
Pb 207.20 Pb.upf
As 74.92 As.upf
Li 6.94 Li.upf
ATOMIC_POSITIONS crystal
Pb 0.000 0.000 0.000
As 0.384 0.384 0.231
As 0.616 0.616 0.769
Li 0.750 0.250 0.500
Li 0.250 0.750 0.500
CELL_PARAMETERS angstrom
4.384 0.000 0.000
0.000 4.384 0.000
2.192 2.192 5.318
```

*Q*
Density functional theory data (PBE-GGA) for a relaxed structure of Li2As2Pb. Values from VASP.

SG   P4/mbm, No. 127
DOS at the Fermi energy   2.6 states/eV per cell

```
&SYSTEM
  ibrav = 0, nat = 10, ntyp = 3
/
ATOMIC_SPECIES
Pb 207.20 Pb.upf
As 74.92 As.upf
Li 6.94 Li.upf
ATOMIC_POSITIONS crystal
Pb 0.000 0.000 0.000
Pb 0.500 0.500 0.000
As 0.331 0.831 0.000
As 0.831 0.669 0.000
As 0.669 0.169 0.000
As 0.169 0.331 0.000
Li 0.123 0.623 0.500
Li 0.623 0.877 0.500
Li 0.877 0.377 0.500
Li 0.377 0.123 0.500
CELL_PARAMETERS angstrom
-4.020 -1.872 6.923
7.154 -1.590 3.725
0.177 2.835 0.870
```

Most stable pick: *P*. Distance to second place: 0.043 eV/atom.

*P*
Density functional theory data (PBE-GGA) for a relaxed structure of LiAsPd4. Values from VASP.

SG   Cmmm, No. 65
DOS at the Fermi energy   5.1 states/eV per cell

```
&SYSTEM
  ibrav = 0, nat = 12, ntyp = 3
/
ATOMIC_SPECIES
Li 6.94 Li.upf
As 74.92 As.upf
Pd 106.42 Pd.upf
ATOMIC_POSITIONS crystal
Li 0.000 0.583 0.000
Li 0.000 0.083 0.500
As 0.500 0.084 0.000
As 0.500 0.584 0.500
Pd 0.000 0.083 0.150
Pd 0.500 0.084 0.348
Pd 0.500 0.584 0.152
Pd 0.000 0.583 0.350
Pd 0.500 0.584 0.848
Pd 0.000 0.583 0.650
Pd 0.000 0.083 0.850
Pd 0.500 0.084 0.652
CELL_PARAMETERS angstrom
4.167 0.000 0.000
0.000 4.172 0.000
0.000 0.000 10.007
```

*Q*
Density functional theory data (PBE-GGA) for a relaxed structure of LiAsPd4. Values from VASP.

SG   P2_1/c, No. 14
DOS at the Fermi energy   5.7 states/eV per cell

```
&SYSTEM
  ibrav = 0, nat = 12, ntyp = 3
/
ATOMIC_SPECIES
Li 6.94 Li.upf
As 74.92 As.upf
Pd 106.42 Pd.upf
ATOMIC_POSITIONS crystal
Li 0.500 0.000 0.500
Li 0.000 0.500 0.500
As 0.000 0.000 0.000
As 0.500 0.500 0.000
Pd 0.891 0.665 0.101
Pd 0.609 0.165 0.899
Pd 0.580 0.341 0.391
Pd 0.920 0.841 0.609
Pd 0.109 0.335 0.899
Pd 0.391 0.835 0.101
Pd 0.420 0.659 0.609
Pd 0.080 0.159 0.391
CELL_PARAMETERS angstrom
4.835 0.000 0.902
0.000 7.771 0.000
0.860 0.000 4.987
```

Most stable pick: *P*. Distance to second place: 0.088 eV/atom.

*P*
Density functional theory data (PBE-GGA) for a relaxed structure of Li2AsPd4. Values from VASP.

SG   I4/mmm, No. 139
DOS at the Fermi energy   3.8 states/eV per cell

```
&SYSTEM
  ibrav = 0, nat = 7, ntyp = 3
/
ATOMIC_SPECIES
As 74.92 As.upf
Pd 106.42 Pd.upf
Li 6.94 Li.upf
ATOMIC_POSITIONS crystal
As 0.000 0.000 0.000
Pd 0.186 0.186 0.628
Pd 0.814 0.814 0.372
Pd 0.000 0.500 0.000
Pd 0.500 0.000 0.000
Li 0.385 0.385 0.231
Li 0.615 0.615 0.769
CELL_PARAMETERS angstrom
4.635 0.000 0.000
0.000 4.635 0.000
2.318 2.318 6.354
```

*Q*
Density functional theory data (PBE-GGA) for a relaxed structure of Li2AsPd4. Values from VASP.

SG   I4/mmm, No. 139
DOS at the Fermi energy   2.2 states/eV per cell

```
&SYSTEM
  ibrav = 0, nat = 7, ntyp = 3
/
ATOMIC_SPECIES
Li 6.94 Li.upf
As 74.92 As.upf
Pd 106.42 Pd.upf
ATOMIC_POSITIONS crystal
Li 0.500 0.500 0.000
Li 0.500 0.000 0.500
As 0.000 0.000 0.000
Pd 0.500 0.000 0.000
Pd 0.500 0.500 0.500
Pd 0.000 0.000 0.500
Pd 0.000 0.500 0.000
CELL_PARAMETERS angstrom
4.831 -0.003 -1.702
-2.409 4.181 -1.718
-0.002 0.003 5.122
```

Most stable pick: *Q*. Distance to second place: 0.443 eV/atom.